Version P
Cu2Pt: relaxed, GGA-PBEsol.

Calculated values
Space-group type ... P1
Calculated density ... 14.05 g/cm3

a = 4.5115 Å, b = 5.2870 Å, c = 6.9010 Å
α = 79.26°, β = 76.91°, γ = 73.42°
Last column: nearest neighbours and their distance in Å.
Positions (direct):
Cu 0.0000 0.0000 0.0000  9 Cu 2.55-2.73, 3 Pt 2.57-2.59
Cu 0.0014 0.1603 0.3260  7 Cu 2.53-2.69, 5 Pt 2.59-2.75
Cu 0.0052 0.4814 0.0036  10 Cu 2.53-2.73, 2 Pt 2.59-2.60
Cu 0.0059 0.6556 0.3269  6 Cu 2.57-2.70, 6 Pt 2.60-2.72
Cu 0.4917 0.1655 0.8341  8 Cu 2.54-2.73, 4 Pt 2.55-2.65
Cu 0.4949 0.6478 0.8352  5 Pt 2.53-2.70, 7 Cu 2.54-2.73
Cu 0.5014 0.3247 0.1577  8 Cu 2.54-2.62, 4 Pt 2.63-2.66
Cu 0.9965 0.3223 0.6741  7 Cu 2.56-2.70, 5 Pt 2.60-2.66
Pt 0.4947 0.9972 0.4949  7 Cu 2.60-2.70, 5 Pt 2.62-2.69
Pt 0.5036 0.8264 0.1496  10 Cu 2.53-2.67, 2 Pt 2.69-2.72
Pt 0.5096 0.4873 0.4981  8 Cu 2.59-2.66, 4 Pt 2.62-2.72
Pt 0.9880 0.8208 0.6808  9 Cu 2.57-2.75, 3 Pt 2.67-2.71

Version Q
Cu2Pt: relaxed, GGA-PBEsol.

Calculated values
Space-group type ... P-3m1
Calculated density ... 14.02 g/cm3

a = 4.1058 Å, b = 4.1058 Å, c = 2.6130 Å
α = 90.00°, β = 90.00°, γ = 120.00°
Last column: nearest neighbours and their distance in Å.
Positions (direct):
Cu 0.3333 0.6667 0.0876  5 Cu 2.41-2.61, 3 Pt 2.60
Cu 0.6667 0.3333 0.9124  5 Cu 2.41-2.61, 3 Pt 2.60
Pt 0.0000 0.0000 0.5000  12 Cu 2.60-2.82, 2 Pt 2.61

Version R
Cu2Pt: relaxed, GGA-PBEsol.

Calculated values
Space-group type ... C2/m
Calculated density ... 14.06 g/cm3

a = 5.2437 Å, b = 5.2437 Å, c = 5.8431 Å
α = 102.90°, β = 102.90°, γ = 91.34°
Last column: nearest neighbours and their distance in Å.
Positions (direct):
Cu 0.0789 0.0789 0.3346  9 Cu 2.55-2.66, 3 Pt 2.56-2.59
Cu 0.0846 0.5873 0.3366  7 Cu 2.55-2.66, 5 Pt 2.59-2.65
Cu 0.2509 0.2509 0.0022  6 Pt 2.57-2.67, 6 Cu 2.58-2.65
Cu 0.4127 0.9154 0.6634  7 Cu 2.55-2.66, 5 Pt 2.59-2.65
Cu 0.5873 0.0846 0.3366  7 Cu 2.55-2.66, 5 Pt 2.59-2.65
Cu 0.7491 0.7491 0.9978  6 Pt 2.57-2.67, 6 Cu 2.58-2.65
Cu 0.9154 0.4127 0.6634  7 Cu 2.55-2.66, 5 Pt 2.59-2.65
Cu 0.9211 0.9211 0.6654  9 Cu 2.55-2.66, 3 Pt 2.56-2.59
Pt 0.2403 0.7597 0.0000  10 Cu 2.57-2.67, 2 Pt 2.71
Pt 0.4087 0.4087 0.6612  9 Cu 2.56-2.65, 3 Pt 2.64-2.71
Pt 0.5913 0.5913 0.3388  9 Cu 2.56-2.65, 3 Pt 2.64-2.71
Pt 0.7597 0.2403 0.0000  10 Cu 2.57-2.67, 2 Pt 2.71

Of them, version R has the highest stability.

Version P
Cd5Cu3: relaxed, GGA-PBEsol.

Calculated values
Space-group type ... I4/mcm
Calculated density ... 9.30 g/cm3

a = 7.6701 Å, b = 7.6701 Å, c = 7.6701 Å
α = 96.46°, β = 96.46°, γ = 140.79°
Last column: nearest neighbours and their distance in Å.
Positions (direct):
Cd 0.0773 0.7784 0.8557  6 Cu 2.65-2.96, 1 Cd 2.91
Cd 0.2216 0.0773 0.2988  6 Cu 2.65-2.96, 1 Cd 2.91
Cd 0.2500 0.7500 0.5000  2 Cd 2.57, 4 Cu 2.76
Cd 0.2784 0.5773 0.8557  6 Cu 2.65-2.96, 1 Cd 2.91
Cd 0.4227 0.2784 0.7012  6 Cu 2.65-2.96, 1 Cd 2.91
Cd 0.5773 0.7216 0.2988  6 Cu 2.65-2.96, 1 Cd 2.91
Cd 0.7216 0.4227 0.1443  6 Cu 2.65-2.96, 1 Cd 2.91
Cd 0.7500 0.2500 0.5000  2 Cd 2.57, 4 Cu 2.76
Cd 0.7784 0.9227 0.7012  6 Cu 2.65-2.96, 1 Cd 2.91
Cd 0.9227 0.2216 0.1443  6 Cu 2.65-2.96, 1 Cd 2.91
Cu 0.1687 0.3313 0.5000  10 Cd 2.65-2.96
Cu 0.2500 0.2500 0.0000  2 Cu 2.57, 8 Cd 2.72
Cu 0.3313 0.8313 0.1625  10 Cd 2.65-2.96
Cu 0.6687 0.1687 0.8375  10 Cd 2.65-2.96
Cu 0.7500 0.7500 0.0000  2 Cu 2.57, 8 Cd 2.72
Cu 0.8313 0.6687 0.5000  10 Cd 2.65-2.96

Version Q
Cd5Cu3: relaxed, GGA-PBEsol.

Calculated values
Space-group type ... P6_3/mcm
Calculated density ... 9.18 g/cm3

a = 7.6613 Å, b = 7.6613 Å, c = 5.3571 Å
α = 90.00°, β = 90.00°, γ = 120.00°
Last column: nearest neighbours and their distance in Å.
Positions (direct):
Cd 0.0000 0.2368 0.2500  5 Cu 2.67-2.96
Cd 0.0000 0.7632 0.7500  5 Cu 2.67-2.96
Cd 0.2368 0.0000 0.2500  5 Cu 2.67-2.96
Cd 0.2368 0.2368 0.7500  5 Cu 2.67-2.96
Cd 0.3333 0.6667 0.0000  2 Cd 2.68, 6 Cu 2.70
Cd 0.3333 0.6667 0.5000  2 Cd 2.68, 6 Cu 2.70
Cd 0.6667 0.3333 0.0000  2 Cd 2.68, 6 Cu 2.70
Cd 0.6667 0.3333 0.5000  2 Cd 2.68, 6 Cu 2.70
Cd 0.7632 0.0000 0.7500  5 Cu 2.67-2.96
Cd 0.7632 0.7632 0.2500  5 Cu 2.67-2.96
Cu 0.0000 0.4007 0.7500  9 Cd 2.67-2.96
Cu 0.0000 0.5993 0.2500  9 Cd 2.67-2.96
Cu 0.4007 0.0000 0.7500  9 Cd 2.67-2.96
Cu 0.4007 0.4007 0.2500  9 Cd 2.67-2.96
Cu 0.5993 0.0000 0.2500  9 Cd 2.67-2.96
Cu 0.5993 0.5993 0.7500  9 Cd 2.67-2.96

Of them, version P has the highest stability.

Version P
PSeO2: relaxed, GGA-PBEsol.

Calculated values
Space-group type ... Fd-3m
Calculated density ... 4.28 g/cm3

a = 5.3787 Å, b = 5.3787 Å, c = 5.3787 Å
α = 60.00°, β = 60.00°, γ = 60.00°
Last column: nearest neighbours and their distance in Å.
Positions (direct):
P 0.1250 0.1250 0.1250  4 O 1.65
P 0.8750 0.8750 0.8750  4 O 1.65
Se 0.3750 0.3750 0.3750  12 O 3.15, 4 Se 3.29, 4 P 3.29
Se 0.6250 0.6250 0.6250  12 O 3.15, 4 Se 3.29, 4 P 3.29
O 0.0000 0.0000 0.0000  2 P 1.65
O 0.0000 0.0000 0.5000  2 P 1.65
O 0.0000 0.5000 0.0000  2 P 1.65
O 0.5000 0.0000 0.0000  2 P 1.65

Version Q
PSeO2: relaxed, GGA-PBEsol.

Calculated values
Space-group type ... R-3m
Calculated density ... 3.70 g/cm3

a = 8.8069 Å, b = 8.8069 Å, c = 8.8069 Å
α = 19.06°, β = 19.06°, γ = 19.06°
Last column: nearest neighbours and their distance in Å.
Positions (direct):
P 0.0000 0.0000 0.0000  2 O 1.48
Se 0.5000 0.5000 0.5000  6 Se 2.92
O 0.0570 0.0570 0.0570  1 P 1.48
O 0.9430 0.9430 0.9430  1 P 1.48

Of them, version P has the highest stability.

Version P
Li7Mn2Co3O12: relaxed, GGA-PBEsol.

Calculated values
Space-group type ... P-1
Calculated density ... 4.59 g/cm3

a = 5.5858 Å, b = 6.3243 Å, c = 6.3435 Å
α = 96.99°, β = 116.03°, γ = 102.28°
Last column: nearest neighbours and their distance in Å.
Positions (direct):
Li 0.0000 0.0000 0.0000  6 O 1.99-2.04
Li 0.2341 0.3134 0.8288  6 O 1.99-2.21
Li 0.2391 0.6758 0.1578  6 O 2.02-2.17
Li 0.2386 0.9988 0.4963  6 O 1.99-2.10
Li 0.7614 0.0012 0.5037  6 O 1.99-2.10
Li 0.7609 0.3242 0.8422  6 O 2.02-2.17
Li 0.7659 0.6866 0.1712  6 O 1.99-2.21
Mn 0.4928 0.3240 0.3265  6 O 1.84-1.98
Mn 0.5072 0.6760 0.6735  6 O 1.84-1.98
Co 0.0006 0.3314 0.3313  6 O 1.88-1.92
Co 0.5000 0.0000 0.0000  6 O 1.90-1.91
Co 0.9994 0.6686 0.6687  6 O 1.88-1.92
O 0.1288 0.6516 0.4341  2 Co 1.92, 1 Mn 1.95, 3 Li 2.06-2.11
O 0.1354 0.9819 0.7586  2 Co 1.88-1.90, 4 Li 1.99-2.05
O 0.1449 0.3402 0.1083  1 Mn 1.86, 1 Co 1.91, 4 Li 2.02-2.04
O 0.3686 0.3467 0.5652  1 Co 1.91, 2 Mn 1.92-1.98, 2 Li 2.09-2.13
O 0.3694 0.6815 0.8999  1 Mn 1.90, 2 Co 1.91-1.92, 2 Li 2.06-2.12
O 0.3906 0.0174 0.2469  1 Mn 1.84, 1 Co 1.91, 3 Li 2.02-2.05
O 0.6094 0.9826 0.7531  1 Mn 1.84, 1 Co 1.91, 3 Li 2.02-2.05
O 0.6306 0.3185 0.1001  1 Mn 1.90, 2 Co 1.91-1.92, 2 Li 2.06-2.12
O 0.6314 0.6533 0.4348  1 Co 1.91, 2 Mn 1.92-1.98, 2 Li 2.09-2.13
O 0.8551 0.6598 0.8917  1 Mn 1.86, 1 Co 1.91, 4 Li 2.02-2.04
O 0.8646 0.0181 0.2414  2 Co 1.88-1.90, 4 Li 1.99-2.05
O 0.8712 0.3484 0.5659  2 Co 1.92, 1 Mn 1.95, 3 Li 2.06-2.11

Version Q
Li7Mn2Co3O12: relaxed, GGA-PBEsol.

Calculated values
Space-group type ... C2/m
Calculated density ... 4.57 g/cm3

a = 4.8854 Å, b = 4.8854 Å, c = 9.4186 Å
α = 94.97°, β = 94.97°, γ = 120.00°
Last column: nearest neighbours and their distance in Å.
Positions (direct):
Li 0.0000 0.0000 0.0000  6 O 2.04
Li 0.0846 0.4122 0.2533  6 O 2.01-2.11
Li 0.2430 0.2430 0.7466  6 O 2.01-2.11
Li 0.4122 0.0846 0.2533  6 O 2.01-2.11
Li 0.5878 0.9154 0.7467  6 O 2.01-2.11
Li 0.7570 0.7570 0.2534  6 O 2.01-2.11
Li 0.9154 0.5878 0.7467  6 O 2.01-2.11
Mn 0.3333 0.6667 0.0000  6 O 1.90
Mn 0.6667 0.3333 0.0000  6 O 1.90
Co 0.1669 0.8331 0.5000  6 O 1.90-1.91
Co 0.5000 0.5000 0.5000  6 O 1.91
Co 0.8331 0.1669 0.5000  6 O 1.90-1.91
O 0.0381 0.6818 0.1142  2 Mn 1.90, 4 Li 2.01-2.11
O 0.1308 0.1308 0.3920  3 Co 1.91, 3 Li 2.05
O 0.2022 0.5358 0.6067  3 Co 1.90-1.91, 3 Li 2.09-2.10
O 0.3182 0.9619 0.8858  2 Mn 1.90, 4 Li 2.01-2.11
O 0.3945 0.3945 0.1143  2 Mn 1.90, 4 Li 2.01-2.11
O 0.4642 0.7978 0.3933  3 Co 1.90-1.91, 3 Li 2.09-2.10
O 0.5358 0.2022 0.6067  3 Co 1.90-1.91, 3 Li 2.09-2.10
O 0.6055 0.6055 0.8857  2 Mn 1.90, 4 Li 2.01-2.11
O 0.6818 0.0381 0.1142  2 Mn 1.90, 4 Li 2.01-2.11
O 0.7978 0.4642 0.3933  3 Co 1.90-1.91, 3 Li 2.09-2.10
O 0.8692 0.8692 0.6080  3 Co 1.91, 3 Li 2.05
O 0.9619 0.3182 0.8858  2 Mn 1.90, 4 Li 2.01-2.11

Of them, version Q has the highest stability.

Version P
ZnCrGe2O6: relaxed, GGA-PBEsol.

Calculated values
Space-group type ... P-1
Calculated density ... 5.53 g/cm3

a = 5.1274 Å, b = 6.4814 Å, c = 6.6772 Å
α = 83.62°, β = 83.15°, γ = 79.10°
Last column: nearest neighbours and their distance in Å.
Positions (direct):
Zn 0.2326 0.3085 0.2270  4 O 2.00-2.11
Zn 0.7674 0.6915 0.7730  4 O 2.00-2.11
Cr 0.2544 0.9062 0.5861  6 O 1.95-2.07
Cr 0.7456 0.0938 0.4139  6 O 1.95-2.07
Ge 0.1546 0.8489 0.0722  4 O 1.84-1.92
Ge 0.3253 0.3861 0.7212  4 O 1.75-1.80
Ge 0.6747 0.6139 0.2788  4 O 1.75-1.80
Ge 0.8454 0.1511 0.9278  4 O 1.84-1.92
O 0.1152 0.9822 0.3172  1 Ge 1.91, 2 Cr 1.96-1.99
O 0.1184 0.3104 0.9365  2 Ge 1.76-1.90
O 0.1468 0.6282 0.6259  1 Ge 1.75, 1 Cr 1.96
O 0.3598 0.6019 0.1998  2 Ge 1.77-1.92
O 0.3721 0.1970 0.5367  1 Ge 1.80, 1 Cr 2.01
O 0.3992 0.8483 0.8470  1 Ge 1.84, 1 Cr 1.95, 1 Zn 2.00
O 0.6008 0.1517 0.1530  1 Ge 1.84, 1 Cr 1.95, 1 Zn 2.00
O 0.6279 0.8030 0.4633  1 Ge 1.80, 1 Cr 2.01
O 0.6402 0.3981 0.8002  2 Ge 1.77-1.92
O 0.8532 0.3718 0.3741  1 Ge 1.75, 1 Cr 1.96
O 0.8816 0.6896 0.0635  2 Ge 1.76-1.90
O 0.8848 0.0178 0.6828  1 Ge 1.91, 2 Cr 1.96-1.99

Version Q
ZnCrGe2O6: relaxed, GGA-PBEsol.

Calculated values
Space-group type ... C2/c
Calculated density ... 5.36 g/cm3

a = 6.5933 Å, b = 6.5933 Å, c = 5.2294 Å
α = 98.05°, β = 98.05°, γ = 85.25°
Last column: nearest neighbours and their distance in Å.
Positions (direct):
Zn 0.2252 0.7748 0.7500  6 O 2.05-2.20
Zn 0.7748 0.2252 0.2500  6 O 2.05-2.20
Cr 0.4084 0.5916 0.2500  6 O 1.99-2.08
Cr 0.5916 0.4084 0.7500  6 O 1.99-2.08
Ge 0.1025 0.2941 0.7936  4 O 1.76-1.83
Ge 0.2941 0.1025 0.2936  4 O 1.76-1.83
Ge 0.7059 0.8975 0.7064  4 O 1.76-1.83
Ge 0.8975 0.7059 0.2064  4 O 1.76-1.83
O 0.0664 0.2092 0.1024  2 Ge 1.83
O 0.1357 0.6339 0.3800  1 Ge 1.76
O 0.2092 0.0664 0.6024  2 Ge 1.83
O 0.3047 0.4714 0.8773  1 Ge 1.81
O 0.3661 0.8643 0.1200  1 Ge 1.76
O 0.4714 0.3047 0.3773  1 Ge 1.81
O 0.5286 0.6953 0.6227  1 Ge 1.81
O 0.6339 0.1357 0.8800  1 Ge 1.76
O 0.6953 0.5286 0.1227  1 Ge 1.81
O 0.7908 0.9336 0.3976  2 Ge 1.83
O 0.8643 0.3661 0.6200  1 Ge 1.76
O 0.9336 0.7908 0.8976  2 Ge 1.83

Of them, version P has the highest stability.